Compound: SnCl2F
Source: the Alexandria database
Functional: PBE
Structure: optimized geometry

Calculated values
ΔE to the lowest computed polymorph: 0.000 eV/atom
V: 18.527 A^3/atom
raw formation energy: -0.749 eV per atom

Unit cell a=4.7147 b=4.7147 c=4.7147 alpha=60.00 beta=60.00 gamma=60.00
With the nearest neighbours (Å) after each atom.
Atoms (fractional coordinates):
Cl  0.7500  0.7500  0.7500  4 F 2.89, 4 Sn 2.89
F  0.0000  0.0000  0.0000  8 Cl 2.89
Sn  0.5000  0.5000  0.5000  8 Cl 2.89
Cl  0.2500  0.2500  0.2500  4 F 2.89, 4 Sn 2.89

***

Compound: FeGeMo2H
Source: the Alexandria database
Functional: PBE
Structure: optimized geometry

Calculated values
total energy: -7.498 eV/atom
V: 11.796 A^3/atom

Unit cell a=3.9215 b=3.9215 c=3.8353 alpha=90.00 beta=90.00 gamma=90.00
With the nearest neighbours (Å) after each atom.
Atoms (fractional coordinates):
H  0.0000  0.0000  0.0000  2 Fe 1.92, 4 Mo 1.96
Ge  0.5000  0.5000  0.5000  8 Mo 2.74, 4 Fe 2.77
Fe  0.0000  0.0000  0.5000  2 H 1.92
Mo  0.0000  0.5000  0.0000  2 H 1.96
Mo  0.5000  0.0000  0.0000  2 H 1.96

***

Compound: Pm5Mg2In
Source: the Alexandria database
Functional: PBE
Structure: optimized geometry

Calculated values
ΔE to the lowest computed polymorph: 0.067 eV/atom
V: 31.409 A^3/atom
E_form: -0.063 eV/atom

Unit cell a=8.0747 b=8.0747 c=9.5921 alpha=114.89 beta=114.89 gamma=90.00
With the nearest neighbours (Å) after each atom.
Atoms (fractional coordinates):
Mg  0.6270  0.1270  0.0000  1 Mg 2.90, 2 Pm 3.18
Pm  0.1787  0.0029  0.6816  2 In 3.33, 3 Mg 3.40-3.44, 2 Pm 3.44-3.70
Mg  0.1270  0.3730  0.0000  1 Mg 2.90, 2 Pm 3.18
Mg  0.8730  0.6270  0.0000  1 Mg 2.90, 2 Pm 3.18
Pm  0.5029  0.6787  0.6816  2 In 3.33, 3 Mg 3.40-3.44, 2 Pm 3.44-3.70
Pm  0.5000  0.5000  0.0000  4 Mg 3.18
Pm  0.9971  0.4971  0.3184  2 In 3.33, 3 Mg 3.40-3.44, 2 Pm 3.44-3.70
In  0.7500  0.7500  0.5000  8 Pm 3.33
Pm  0.0029  0.5029  0.6816  2 In 3.33, 3 Mg 3.40-3.44, 2 Pm 3.44-3.70
Mg  0.3730  0.8730  0.0000  1 Mg 2.90, 2 Pm 3.18
Pm  0.3213  0.8213  0.3184  2 In 3.33, 3 Mg 3.40-3.44, 2 Pm 3.44-3.70
In  0.2500  0.2500  0.5000  8 Pm 3.33
Pm  0.0000  0.0000  0.0000  4 Mg 3.18
Pm  0.6787  0.1787  0.6816  2 In 3.33, 3 Mg 3.40-3.44, 2 Pm 3.44-3.70
Pm  0.8213  0.9971  0.3184  2 In 3.33, 3 Mg 3.40-3.44, 2 Pm 3.44-3.70
Pm  0.4971  0.3213  0.3184  2 In 3.33, 3 Mg 3.40-3.44, 2 Pm 3.44-3.70

***

Compound: Sr3AsO
Source: the Alexandria database
Functional: PBE
Structure: optimized geometry

Calculated values
ΔE to the lowest computed polymorph: 0.000 eV/atom
V: 29.806 A^3/atom
raw formation energy: -1.607 eV per atom

Unit cell a=4.9504 b=4.9517 c=12.4086 alpha=101.51 beta=90.00 gamma=90.00
With the nearest neighbours (Å) after each atom.
Atoms (fractional coordinates):
O  0.2500  0.6744  0.1973  5 Sr 2.45-2.50
O  0.7500  0.4771  0.8027  5 Sr 2.45-2.50
Sr  0.7500  0.6588  0.1661  2 O 2.50
Sr  0.2500  0.4927  0.8339  2 O 2.50
Sr  0.7500  0.3765  0.6012  1 O 2.45
As  0.7500  0.2459  0.3400  5 Sr 3.18-3.26
As  0.2500  0.9059  0.6600  5 Sr 3.18-3.26
Sr  0.7500  0.9913  0.8310  2 O 2.50
Sr  0.2500  0.1602  0.1690  2 O 2.50
Sr  0.2500  0.7753  0.3988  1 O 2.45

***

Compound: RbB3I
Source: the Alexandria database
Functional: PBE
Structure: optimized geometry

Calculated values
ΔE to the lowest computed polymorph: 0.000 eV/atom
V: 22.223 A^3/atom
raw formation energy: 2.401 eV per atom

Unit cell a=4.8076 b=4.8076 c=4.8076 alpha=90.00 beta=90.00 gamma=90.00
With the nearest neighbours (Å) after each atom.
Atoms (fractional coordinates):
I  0.0000  0.0000  0.0000  6 B 2.40
B  0.0000  0.5000  0.0000  2 I 2.40
B  0.0000  0.0000  0.5000  2 I 2.40
B  0.5000  0.0000  0.0000  2 I 2.40
Rb  0.5000  0.5000  0.5000  12 B 3.40

***

Compound: LiLu2Al
Source: the Alexandria database
Functional: PBE
Structure: optimized geometry

Calculated values
ΔE to the lowest computed polymorph: 0.284 eV/atom
V: 26.478 A^3/atom
E_form: 0.086 eV/atom

Unit cell a=3.3568 b=3.3568 c=11.0252 alpha=81.24 beta=81.24 gamma=60.00
With the nearest neighbours (Å) after each atom.
Atoms (fractional coordinates):
Al  0.5000  0.5000  0.5000  6 Lu 2.99
Li  0.0000  0.0000  0.0000  2 Lu 3.14, 6 Li 3.36
Lu  0.0966  0.0966  0.7103  3 Al 2.99, 1 Li 3.14
Lu  0.9034  0.9034  0.2897  3 Al 2.99, 1 Li 3.14